# 1
BeGa2Pd6 PBE relaxed; Fermi-level density of states = 5.32 states/eV per cell; formation energy from the elements = -0.5685 eV per atom; space group = P4_2/mnm, No. 136
1.0
7.939 0.000 0.000
0.000 7.939 0.000
0.000 0.000 4.067
Be Ga Pd
2 4 12
direct
0.000 0.000 0.000
0.500 0.500 0.500
0.203 0.203 0.500
0.297 0.703 0.000
0.703 0.297 0.000
0.797 0.797 0.500
0.029 0.314 0.000
0.122 0.878 0.500
0.186 0.529 0.500
0.314 0.029 0.000
0.378 0.378 0.000
0.471 0.814 0.500
0.529 0.186 0.500
0.622 0.622 0.000
0.686 0.971 0.000
0.814 0.471 0.500
0.878 0.122 0.500
0.971 0.686 0.000

# 2
Ac3ZnCd6In2 PBE relaxed; Fermi-level density of states = 5.67 states/eV per cell; formation energy from the elements = -0.1776 eV per atom; space group = P-3m1, No. 164
1.0
6.002 0.000 0.000
-3.001 5.198 0.000
0.000 0.000 11.010
Ac Zn Cd In
3 1 6 2
direct
0.000 0.000 0.000
0.333 0.667 0.568
0.667 0.333 0.432
0.000 0.000 0.500
0.168 0.336 0.274
0.168 0.832 0.274
0.336 0.168 0.726
0.664 0.832 0.274
0.832 0.168 0.726
0.832 0.664 0.726
0.333 0.667 0.899
0.667 0.333 0.101

# 3
Y11In9Ag4 PBE relaxed; Fermi-level density of states = 15.52 states/eV per cell; formation energy from the elements = -0.4605 eV per atom; space group = Cmmm, No. 65
1.0
7.375 -11.124 0.000
7.375 11.124 0.000
0.000 0.000 3.746
Y In Ag
11 9 4
direct
0.000 0.000 0.000
0.064 0.411 0.000
0.161 0.839 0.000
0.299 0.299 0.000
0.367 0.633 0.000
0.411 0.064 0.000
0.589 0.936 0.000
0.633 0.367 0.000
0.701 0.701 0.000
0.839 0.161 0.000
0.936 0.589 0.000
0.068 0.214 0.500
0.156 0.632 0.500
0.214 0.068 0.500
0.368 0.844 0.500
0.500 0.500 0.500
0.632 0.156 0.500
0.786 0.932 0.500
0.844 0.368 0.500
0.932 0.786 0.500
0.249 0.449 0.500
0.449 0.249 0.500
0.551 0.751 0.500
0.751 0.551 0.500

# 4
YAsWBr2 PBE relaxed; energy relative to the lowest polymorph listed for this composition = 300.8 meV/atom; formation energy (no corrections) = 580 meV per atom; Fermi-level density of states = 4.59 states/eV per cell; space group = P4/mmm, No. 123
1.0
5.342 0.000 0.000
0.000 5.342 0.000
0.000 0.000 5.862
Y As W Br
1 1 1 2
direct
0.000 0.000 0.000
0.000 0.000 0.500
0.500 0.500 0.500
0.000 0.500 0.000
0.500 0.000 0.000